Fe2RePt: optimized geometry, PBE.

a = 4.2830 Å, b = 4.2830 Å, c = 4.2830 Å
α = 60.00°, β = 60.00°, γ = 60.00°
Fractional coordinates of all 4 atoms:
Fe 0.0000 0.0000 0.0000
Fe 0.2500 0.2500 0.2500
Re 0.5000 0.5000 0.5000
Pt 0.7500 0.7500 0.7500

Magnetization = 4.690 μB/f.u.
ΔE_f = 0.9 eV/f.u.
E = -0.6346 Ry per atom
N(E_F) = 6.7 states/eV/cell



CuOsPb: optimized geometry, PBE.

a = 4.4053 Å, b = 4.4053 Å, c = 4.4053 Å
α = 60.00°, β = 60.00°, γ = 60.00°
Fractional coordinates of all 3 atoms:
Cu 0.0000 0.0000 0.0000
Os 0.2500 0.2500 0.2500
Pb 0.5000 0.5000 0.5000

Energy relative to the lowest polymorph listed for this composition = 96.3 meV per atom
Magnetization = 0.000 μB/f.u.
ΔE_f = 2.7 eV/f.u.
E = -0.4005 Ry per atom
N(E_F) = 3.8 states/eV/cell



SmU3S4: optimized geometry, PBE.

a = 6.7669 Å, b = 6.7669 Å, c = 3.8770 Å
α = 90.00°, β = 90.00°, γ = 109.04°
Fractional coordinates of all 8 atoms:
Sm 0.0000 0.0000 0.0000
U 0.0000 0.5000 0.5000
U 0.5000 0.0000 0.5000
U 0.5000 0.5000 0.0000
S 0.2523 0.7477 0.0000
S 0.2550 0.2550 0.5000
S 0.7450 0.7450 0.5000
S 0.7477 0.2523 0.0000

Magnetization = 7.125 μB/f.u.
Formation energy (no corrections) = -1518.3 meV/atom
E = -0.6178 Ry per atom
N(E_F) = 13.3 states/eV/cell



Nd4AlRu: optimized geometry, PBE.

a = 9.8184 Å, b = 9.8184 Å, c = 9.8184 Å
α = 60.00°, β = 60.00°, γ = 60.00°
Fractional coordinates of all 24 atoms:
Nd 0.1889 0.1889 0.8111
Nd 0.1889 0.8111 0.1889
Nd 0.1889 0.8111 0.8111
Nd 0.4010 0.4010 0.4010
Nd 0.4010 0.4010 0.7971
Nd 0.4010 0.7971 0.4010
Nd 0.5545 0.5545 0.9455
Nd 0.5545 0.9455 0.5545
Nd 0.5545 0.9455 0.9455
Nd 0.7971 0.4010 0.4010
Nd 0.8111 0.1889 0.1889
Nd 0.8111 0.1889 0.8111
Nd 0.8111 0.8111 0.1889
Nd 0.9455 0.5545 0.5545
Nd 0.9455 0.5545 0.9455
Nd 0.9455 0.9455 0.5545
Al 0.1755 0.1755 0.1755
Al 0.1755 0.1755 0.4736
Al 0.1755 0.4736 0.1755
Al 0.4736 0.1755 0.1755
Ru 0.1628 0.6124 0.6124
Ru 0.6124 0.1628 0.6124
Ru 0.6124 0.6124 0.1628
Ru 0.6124 0.6124 0.6124

Energy relative to the lowest polymorph listed for this composition = 0.0 meV per atom
Magnetization = 0.000 μB/f.u.
ΔE_f = -1.6 eV/f.u.
E = -0.4129 Ry per atom
N(E_F) = 18.4 states/eV/cell